Crystalline Co4TeO8 at its relaxed geometry. Source: the Alexandria database, functional PBEsol.

```
data_Co4TeO8
_chemical_formula_sum 'Co8 Te2 O16'
_cell_length_a 5.792
_cell_length_b 5.792
_cell_length_c 9.729
_cell_angle_alpha 82.38
_cell_angle_beta 82.38
_cell_angle_gamma 60.42
_symmetry_space_group_name_H-M 'P 1'
_symmetry_Int_Tables_number 1
loop_
_symmetry_equiv_pos_as_xyz
'x,y,z'
loop_
_atom_site_label
_atom_site_type_symbol
_atom_site_fract_x
_atom_site_fract_y
_atom_site_fract_z
Co1 Co 0.500 0.500 0.000
Co2 Co 0.000 0.000 0.500
Co3 Co 0.250 0.250 0.750
Co4 Co 0.750 0.750 0.250
Co5 Co 0.500 0.000 0.500
Co6 Co 0.000 0.500 0.000
Co7 Co 0.000 0.500 0.500
Co8 Co 0.500 0.000 0.000
Te1 Te 0.000 0.000 0.000
Te2 Te 0.500 0.500 0.500
O1 O 0.343 0.343 0.398
O2 O 0.843 0.843 0.898
O3 O 0.157 0.157 0.102
O4 O 0.657 0.657 0.602
O5 O 0.843 0.843 0.401
O6 O 0.343 0.343 0.901
O7 O 0.657 0.657 0.099
O8 O 0.157 0.157 0.599
O9 O 0.356 0.854 0.894
O10 O 0.856 0.354 0.395
O11 O 0.854 0.356 0.894
O12 O 0.354 0.856 0.395
O13 O 0.144 0.646 0.605
O14 O 0.644 0.146 0.106
O15 O 0.646 0.144 0.605
O16 O 0.146 0.644 0.106
```

Summary:
- Formation energy without anion corrections: -1071 kJ/mol of formula units
- Uncorrected energy: -175.14 eV per cell
- Energy relative to the lowest polymorph listed for this composition: 0.20 eV per formula unit
- Crystal system: monoclinic
- N(E_F): 12.15 states/eV per cell